! Ca2CdHgSb PBE optimized geometry; values from VASP
&SYSTEM
  ibrav = 0, nat = 5, ntyp = 4
/
ATOMIC_SPECIES
Ca 40.08 Ca.upf
Sb 121.76 Sb.upf
Hg 200.59 Hg.upf
Cd 112.41 Cd.upf
CELL_PARAMETERS angstrom
5.907 0.000 0.000
0.000 5.554 0.000
0.000 0.000 5.907
ATOMIC_POSITIONS angstrom
Ca 0.000 0.000 2.954
Ca 2.954 0.000 0.000
Sb 0.000 0.000 0.000
Hg 2.954 2.777 2.954
Cd 0.000 2.777 0.000
! raw formation energy	-157	meV per atom